NbVNi3 | PBE | optimized geometry

a b c (Å): 4.6477 5.8377 5.8371
angles (deg): 120.01 90.00 90.00
Fractional positions:
1 Nb 0.7499 0.6668 0.3334
2 Nb 0.2501 0.3332 0.6666
3 V 0.0000 0.0000 0.0000
4 V 0.5000 0.0000 0.0000
5 Ni 0.7501 0.5964 0.7983
6 Ni 0.2499 0.7982 0.5964
7 Ni 0.2499 0.4036 0.2017
8 Ni 0.7501 0.2018 0.4036
9 Ni 0.2499 0.7982 0.2017
10 Ni 0.7501 0.2018 0.7983

Calculated values
The value obtained for the relative energy among the computed polymorphs is 380 meV per atom. Its symmetry is P6_3/mmc. The formation energy comes out at 211 meV/atom.

=====

LaYHg2 | PBE | optimized geometry

a b c (Å): 4.0926 4.0921 6.9653
angles (deg): 90.00 90.00 90.00
Site moments in Bohr magnetons follow the coordinates.
Fractional positions:
1 Hg 0.0000 0.0000 0.9825  0.00
2 Hg 0.5000 0.5000 0.2493  0.00
3 La 0.0000 0.0000 0.4686  0.14
4 Y 0.5000 0.5000 0.7996  0.17

Calculated values
Its symmetry is P4mm. The formation energy comes out at -332 meV/atom.

=====

YTm2Cd | PBE | optimized geometry

a b c (Å): 4.8219 4.8112 4.8112
angles (deg): 90.00 90.00 90.00
Fractional positions:
1 Y 0.5000 0.0000 0.0000
2 Tm 0.0000 0.0000 0.5000
3 Tm 0.0000 0.5000 0.0000
4 Cd 0.5000 0.5000 0.5000

Calculated values
The value obtained for the relative energy among the computed polymorphs is 70 meV per atom. Its symmetry is P4/mmm. The formation energy comes out at -89 meV/atom.

=====

AlFe2Ir | PBE | optimized geometry

a b c (Å): 3.5632 3.5632 9.3425
angles (deg): 79.01 79.01 90.00
Site moments in Bohr magnetons follow the coordinates.
Fractional positions:
1 Ir 0.0000 0.0000 0.0000  0.20
2 Ir 0.7500 0.2500 0.5000  0.19
3 Fe 0.6140 0.1250 0.2500  2.56
4 Fe 0.1360 0.6250 0.2500  2.57
5 Fe 0.3750 0.3860 0.7500  2.57
6 Fe 0.8750 0.8640 0.7500  2.58
7 Al 0.5000 0.5000 0.0000  -0.04
8 Al 0.2500 0.7500 0.5000  -0.04

Calculated values
Its symmetry is I-42d. The formation energy comes out at 155 meV/atom.

=====

Sn4BiSe6 | PBE | optimized geometry

a b c (Å): 4.1185 9.2430 9.2431
angles (deg): 120.00 90.00 90.00
Fractional positions:
1 Sn 0.5000 0.4155 0.2078
2 Sn 0.5000 0.7922 0.2078
3 Sn 0.0000 0.3333 0.6667
4 Sn 0.5000 0.7922 0.5845
5 Bi 0.0000 0.0000 0.0000
6 Se 0.5000 0.7268 0.8634
7 Se 0.5000 0.1366 0.2732
8 Se 0.0000 0.5211 0.0421
9 Se 0.0000 0.5211 0.4790
10 Se 0.0000 0.9579 0.4790
11 Se 0.5000 0.1366 0.8634

Calculated values
The uncorrected formation energy is -0.19 eV per atom. Its symmetry is P-6m2.

=====

Sm3CdSn3 | PBE | optimized geometry

a b c (Å): 4.6337 6.3185 14.6202
angles (deg): 82.44 80.88 68.49
Fractional positions:
1 Sm 0.5167 0.3428 0.6239
2 Sm 0.4833 0.6572 0.3761
3 Sm 0.2678 0.2396 0.2248
4 Sm 0.7322 0.7604 0.7752
5 Sm 0.3970 0.2834 0.9226
6 Sm 0.6030 0.7166 0.0774
7 Cd 0.7745 0.0694 0.3815
8 Cd 0.2255 0.9306 0.6185
9 Sn 0.8660 0.7217 0.5463
10 Sn 0.1340 0.2783 0.4537
11 Sn 0.1224 0.8300 0.9252
12 Sn 0.8776 0.1700 0.0748
13 Sn 0.9953 0.7848 0.2246
14 Sn 0.0047 0.2152 0.7754

Calculated values
The value obtained for the relative energy among the computed polymorphs is 0 meV per atom. Its symmetry is C2/m. The formation energy comes out at -650 meV/atom.

=====

KFe2AgN | PBE | optimized geometry

a b c (Å): 3.9976 5.0277 3.9976
angles (deg): 90.00 90.00 90.00
Site moments in Bohr magnetons follow the coordinates.
Fractional positions:
1 K 0.5000 0.5000 0.5000  -0.04
2 Fe 0.0000 0.0000 0.5000  2.56
3 Fe 0.5000 0.0000 0.0000  2.67
4 Ag 0.0000 0.5000 0.0000  -0.03
5 N 0.0000 0.0000 0.0000  0.01

Calculated values
The uncorrected formation energy is 0.67 eV per atom. Its symmetry is P4/mmm.

=====

La8Sn5Pb | PBE | optimized geometry

a b c (Å): 8.5125 8.5125 8.5125
angles (deg): 109.51 109.40 109.51
Fractional positions:
1 La 0.1246 0.7517 0.0170
2 La 0.9830 0.1076 0.7347
3 La 0.7628 0.2486 0.3727
4 La 0.6273 0.3901 0.8759
5 La 0.4858 0.6099 0.2372
6 La 0.6271 0.8924 0.8754
7 La 0.2653 0.2483 0.3729
8 La 0.1241 0.7514 0.5142
9 Sn 0.0010 0.3754 0.1259
10 Sn 0.8741 0.8751 0.2496
11 Sn 0.7504 0.6246 0.6255
12 Sn 0.5000 0.0000 0.5000
13 Sn 0.3745 0.1249 0.9990
14 Pb 0.2500 0.5000 0.7500

Calculated values
Its symmetry is I-4. The formation energy comes out at -758 meV/atom.

=====

Hf2Be4Cu | PBE | optimized geometry

a b c (Å): 3.8577 3.8577 7.1468
angles (deg): 74.34 74.34 90.00
Fractional positions:
1 Be 0.1535 0.1535 0.6930
2 Be 0.8465 0.8465 0.3070
3 Be 0.0000 0.5000 0.0000
4 Be 0.5000 0.0000 0.0000
5 Hf 0.3461 0.3461 0.3078
6 Hf 0.6539 0.6539 0.6922
7 Cu 0.0000 0.0000 0.0000

Calculated values
Its symmetry is I4/mmm. The formation energy comes out at 315 meV/atom.

=====

Nd3HfPa2N6 | PBE | optimized geometry

a b c (Å): 6.0519 6.0519 6.1650
angles (deg): 99.38 99.38 119.97
Fractional positions:
1 Nd 0.1654 0.8346 0.5000
2 Nd 0.8346 0.1654 0.5000
3 Nd 0.5000 0.5000 0.5000
4 Hf 0.0000 0.0000 0.0000
5 Pa 0.3335 0.6665 0.0000
6 Pa 0.6665 0.3335 0.0000
7 N 0.9315 0.6048 0.7943
8 N 0.7443 0.7443 0.2105
9 N 0.0685 0.3952 0.2057
10 N 0.6048 0.9315 0.7943
11 N 0.2557 0.2557 0.7895
12 N 0.3952 0.0685 0.2057

Calculated values
The uncorrected formation energy is -1.59 eV per atom. Its symmetry is C2/m.

=====

LaTl2Cr | PBE | optimized geometry

a b c (Å): 5.3433 5.3433 5.3433
angles (deg): 60.00 60.00 60.00
Site moments in Bohr magnetons follow the coordinates.
Fractional positions:
1 Cr 0.5000 0.5000 0.5000  3.93
2 La 0.7500 0.7500 0.7500  0.14
3 Tl 0.0000 0.0000 0.0000  -0.02
4 Tl 0.2500 0.2500 0.2500  0.00

Calculated values
Its symmetry is F-43m. The formation energy comes out at 167 meV/atom.

=====

Be2CdPb | PBE | optimized geometry

a b c (Å): 4.6960 4.6960 4.6960
angles (deg): 60.00 60.00 60.00
Fractional positions:
1 Pb 0.5000 0.5000 0.5000
2 Be 0.2500 0.2500 0.2500
3 Be 0.7500 0.7500 0.7500
4 Cd 0.0000 0.0000 0.0000

Calculated values
The value obtained for the relative energy among the computed polymorphs is 350 meV per atom. Its symmetry is Fm-3m. The formation energy comes out at 754 meV/atom.

=====

no.,final energy (eV for the cell shown)
1,-70.959
2,-13.325
3,-16.677
4,-57.821
5,-42.913
6,-63.262
7,-25.862
8,-73.753
9,-36.705
10,-112.282
11,-18.616
12,-9.060